Entry from Alexandria via LeMat-Bulk: Se after structural relaxation (PBE).

```
data_Se
_cell_length_a 12.2537
_cell_length_b 7.5724
_cell_length_c 9.5948
_cell_angle_alpha 90.00
_cell_angle_beta 129.20
_cell_angle_gamma 90.00
_symmetry_space_group_name_H-M 'C 1 c 1'
_symmetry_Int_Tables_number 9
loop_
_symmetry_equiv_pos_as_xyz
'x,y,z'
'x,-y,z+1/2'
'x+1/2,y+1/2,z'
'x+1/2,-y+1/2,z+1/2'
loop_
_atom_site_label
_atom_site_fract_x
_atom_site_fract_y
_atom_site_fract_z
_atom_site_occupancy
Se1 0.0000 0.0607 0.0000 1
Se2 0.1151 0.4281 0.6371 1
Se3 0.1412 0.1682 0.4859 1
Se4 0.3127 0.3936 0.9371 1
Se5 0.3627 0.0624 0.6754 1
```

Summary:
V (Å³/cell): 689.9
ΔE to the lowest computed polymorph (meV/atom): 113
Formation energy (no corrections) (eV per atom): 0.11